[1]
The following is a GGA-PBE calculation of crystalline PdRu2Rh at its relaxed geometry, from Alexandria via LeMat-Bulk.

a b c (Å): 5.5999 5.5999 10.8216
angles (deg): 90.00 90.00 90.00
Space group I-42d (No. 122)
Inequivalent atoms, fractional coordinates:
Pd1 0.0000 0.0000 0.0000
Ru1 0.2387 0.2500 0.6250
Rh1 0.0000 0.0000 0.5000

Properties
ΔE_f in eV/atom: 1.324
Theoretical density in Mg/m³: 8.05
Electronic total energy in eV per atom: -6.45

---

[2]
The following is a GGA-PBE calculation of crystalline TaTi3Os at its relaxed geometry, from Alexandria via LeMat-Bulk.

a b c (Å): 4.6741 4.6741 4.6741
angles (deg): 90.00 90.00 90.00
Space group Pm-3m (No. 221)
Inequivalent atoms, fractional coordinates:
Ta1 0.0000 0.0000 0.0000
Ti1 0.0000 0.5000 0.5000
Os1 0.5000 0.5000 0.5000

Properties
ΔE_f in eV/atom: 0.745
Theoretical density in Mg/m³: 8.37
Electronic total energy in eV per atom: -8.61

---

[3]
The following is a GGA-PBE calculation of crystalline Ac4TcAg at its relaxed geometry, from Alexandria via LeMat-Bulk.

a b c (Å): 9.7656 15.8306 7.3324
angles (deg): 90.00 126.86 90.00
Space group C2/c (No. 15)
Inequivalent atoms, fractional coordinates:
Ac1 0.1655 0.2085 0.1701
Ac2 0.2350 0.0452 0.7301
Tc1 0.0000 0.0894 0.2500
Ag1 0.0000 0.3825 0.7500

Properties
ΔE_f in eV/atom: 0.029
Theoretical density in Mg/m³: 8.16
Electronic total energy in eV per atom: -4.91

---

[4]
The following is a GGA-PBE calculation of crystalline DyReW at its relaxed geometry, from Alexandria via LeMat-Bulk.

a b c (Å): 5.4621 5.5165 7.7111
angles (deg): 90.00 90.00 90.00
Space group Imma (No. 74)
Inequivalent atoms, fractional coordinates:
Dy1 0.0000 0.2500 0.1231
Re1 0.2500 0.2500 0.7500
W1 0.0000 0.0000 0.5000

Properties
ΔE_f in eV/atom: -0.080
Theoretical density in Mg/m³: 15.22
Electronic total energy in eV per atom: -10.08

---

[5]
The following is a GGA-PBE calculation of crystalline CoTeS at its relaxed geometry, from Alexandria via LeMat-Bulk.

a b c (Å): 3.5204 3.5204 5.3433
angles (deg): 90.00 90.00 120.00
Space group P3m1 (No. 156)
Inequivalent atoms, fractional coordinates:
Co1 0.0000 0.0000 0.0000
Te1 0.3333 0.6667 0.7097
S1 0.6667 0.3333 0.1836

Properties
Formation energy from raw total energies in meV/atom: -217
Theoretical density in Mg/m³: 6.33
Electronic total energy in eV per atom: -5.01

---

[6]
The following is a GGA-PBE calculation of crystalline FeH2I5 at its relaxed geometry, from Alexandria via LeMat-Bulk.

a b c (Å): 4.3753 14.9184 20.6804
angles (deg): 90.00 90.00 90.00
Space group Cmcm (No. 63)
Inequivalent atoms, fractional coordinates:
Fe1 0.0000 0.1806 0.2500
H1 0.0000 0.4573 0.0717
I1 0.0000 0.0883 0.1495
I2 0.0000 0.2146 0.7500
I3 0.0000 0.3522 0.0498

Properties
Theoretical density in Mg/m³: 3.41
Electronic total energy in eV per atom: -2.90